(1)
# Y4Ni2Ru

An optimized crystal structure of Y4Ni2Ru (PBE, the Alexandria database).

Its calculated total energy is -6.969 eV per atom. The value obtained for the total magnetic moment is 0.00 μB/cell.

a = 4.3154 Å, b = 5.7923 Å, c = 7.1870 Å
α = 80.59°, β = 72.53°, γ = 68.13°
Element x y z (fractional)
Ni1 0.6361 0.3697 0.3580
Ni2 0.3639 0.6303 0.6420
Y1 0.0835 0.2059 0.6270
Y2 0.9165 0.7941 0.3730
Y3 0.3108 0.2867 0.0916
Y4 0.6892 0.7133 0.9084
Ru1 0.0000 0.0000 0.0000

(2)
# Li2SnHgI6

An optimized crystal structure of Li2SnHgI6 (PBE, the Alexandria database).

Its calculated total energy is -2.423 eV per atom. The value obtained for the total magnetic moment is 0.00 μB/cell.

a = 7.7313 Å, b = 7.8075 Å, c = 8.6602 Å
α = 64.99°, β = 66.71°, γ = 60.35°
Element x y z (fractional)
I1 0.4395 0.7383 0.7274
I2 0.8700 0.5934 0.2503
I3 0.2592 0.8900 0.2357
I4 0.5798 0.2755 0.2492
I5 0.1145 0.4302 0.7351
I6 0.7484 0.1000 0.7368
Hg1 0.2337 0.2476 0.2536
Li1 0.0914 0.0755 0.7791
Li2 0.4973 0.4830 0.5275
Sn1 0.8277 0.8280 0.5204

(3)
# Cs2SnAu

An optimized crystal structure of Cs2SnAu (PBE, the Alexandria database).

The energy above the most stable polymorph in this dataset comes out at 0.022 eV per atom. The value obtained for the total magnetic moment is 0.00 μB/cell.

a = 4.9434 Å, b = 7.0561 Å, c = 7.0561 Å
α = 60.71°, β = 69.49°, γ = 69.49°
Element x y z (fractional)
Cs1 0.4362 0.4792 0.6486
Cs2 0.0638 0.8514 0.0208
Sn1 0.2500 0.1594 0.3406
Au1 0.7500 0.0099 0.4901

(4)
# Os2SeN

An optimized crystal structure of Os2SeN (PBE, the Alexandria database).

The energy above the most stable polymorph in this dataset comes out at 0.000 eV per atom. The value obtained for the total magnetic moment is 0.00 μB/cell.

a = 4.9628 Å, b = 4.9628 Å, c = 6.2311 Å
α = 66.53°, β = 66.53°, γ = 90.00°
Element x y z (fractional)
Se1 0.7500 0.2500 0.5000
Se2 0.0000 0.0000 0.0000
N1 0.2500 0.7500 0.5000
N2 0.5000 0.5000 0.0000
Os1 0.5392 0.1250 0.2500
Os2 0.3750 0.4608 0.7500
Os3 0.2108 0.6250 0.2500
Os4 0.8750 0.7892 0.7500

(5)
# CaLaCdGe

An optimized crystal structure of CaLaCdGe (PBE, the Alexandria database).

Its calculated total energy is -3.617 eV per atom. The value obtained for the total magnetic moment is 0.00 μB/cell.

a = 5.3507 Å, b = 5.3507 Å, c = 5.3507 Å
α = 60.00°, β = 60.00°, γ = 60.00°
Element x y z (fractional)
Ca1 0.5000 0.5000 0.5000
Cd1 0.7500 0.7500 0.7500
La1 0.0000 0.0000 0.0000
Ge1 0.2500 0.2500 0.2500

(6)
# Tb5Y4Zr

An optimized crystal structure of Tb5Y4Zr (PBE, the Alexandria database).

Its calculated total energy is -5.711 eV per atom. The value obtained for the total magnetic moment is 0.00 μB/cell.

a = 3.5147 Å, b = 7.0669 Å, c = 13.6252 Å
α = 97.48°, β = 112.77°, γ = 89.81°
Element x y z (fractional)
Tb1 0.8986 0.8985 0.5990
Tb2 0.1014 0.1015 0.4010
Tb3 0.5000 0.5000 0.0000
Tb4 0.0971 0.5987 0.3985
Tb5 0.9029 0.4013 0.6015
Y1 0.7151 0.1919 0.8099
Y2 0.2856 0.2870 0.1899
Y3 0.7144 0.7130 0.8101
Y4 0.2849 0.8081 0.1901
Zr1 0.5000 0.0000 0.0000

(7)
# AcHo3Tm3

An optimized crystal structure of AcHo3Tm3 (PBE, the Alexandria database).

Its calculated total energy is -4.302 eV per atom. The value obtained for the total magnetic moment is 0.00 μB/cell.

a = 17.7633 Å, b = 11.2586 Å, c = 7.4777 Å
α = 91.06°, β = 113.42°, γ = 131.06°
Element x y z (fractional)
Tm1 0.7520 0.2750 0.7402
Tm2 0.0083 0.2029 0.4811
Tm3 0.4770 0.7250 0.4652
Tm4 0.2406 0.7674 0.7782
Tm5 0.2227 0.4830 0.9761
Tm6 0.5359 0.5217 0.7770
Tm7 0.5162 0.0000 0.2387
Tm8 0.7397 0.5170 0.4931
Tm9 0.8054 0.7971 0.2782
Tm10 0.2662 0.0000 0.5217
Tm11 0.0141 0.4783 0.2553
Tm12 0.4731 0.2326 0.0108
Ho1 0.7752 0.3104 0.2694
Ho2 0.7218 0.4823 0.9644
Ho3 0.0052 0.7506 0.4979
Ho4 0.5639 0.5727 0.3193
Ho5 0.2630 0.7798 0.2336
Ho6 0.2546 0.2494 0.7473
Ho7 0.4934 0.0000 0.7548
Ho8 0.4832 0.2202 0.4538
Ho9 0.4648 0.6896 0.9590
Ho10 0.7372 0.0000 0.4486
Ho11 0.9912 0.4273 0.7466
Ho12 0.2395 0.5177 0.4821
Ac1 0.0141 0.7404 0.9948
Ac2 0.9316 0.0000 0.8847
Ac3 0.2737 0.2596 0.2544
Ac4 0.7362 0.0000 0.9737

(8)
# ReRh2W

An optimized crystal structure of ReRh2W (PBE, the Alexandria database).

The energy above the most stable polymorph in this dataset comes out at 0.110 eV per atom. The value obtained for the total magnetic moment is 0.00 μB/cell.

a = 2.7483 Å, b = 2.7483 Å, c = 7.9029 Å
α = 90.00°, β = 90.00°, γ = 90.00°
Element x y z (fractional)
Rh1 0.5000 0.5000 0.2560
Rh2 0.0000 0.0000 0.9919
Re1 0.5000 0.5000 0.7619
W1 0.0000 0.0000 0.4902

(9)
# Tl7Zn

An optimized crystal structure of Tl7Zn (PBE, the Alexandria database).

Its calculated total energy is -2.140 eV per atom. The value obtained for the total magnetic moment is 0.00 μB/cell.

a = 6.9143 Å, b = 6.9143 Å, c = 6.9143 Å
α = 60.00°, β = 60.00°, γ = 60.00°
Element x y z (fractional)
Tl1 0.0000 0.0000 0.5000
Tl2 0.5000 0.0000 0.5000
Tl3 0.5000 0.5000 0.0000
Tl4 0.0000 0.5000 0.5000
Tl5 0.5000 0.0000 0.0000
Tl6 0.0000 0.5000 0.0000
Tl7 0.5000 0.5000 0.5000
Zn1 0.0000 0.0000 0.0000

(10)
# LaPm6Sm3

An optimized crystal structure of LaPm6Sm3 (PBE, the Alexandria database).

Its calculated total energy is -4.521 eV per atom. The value obtained for the total magnetic moment is 0.00 μB/cell.

a = 10.0678 Å, b = 10.0678 Å, c = 7.0415 Å
α = 44.37°, β = 44.37°, γ = 60.00°
Element x y z (fractional)
La1 0.9003 0.9003 0.2990
Pm1 0.9000 0.5727 0.3005
Pm2 0.4000 0.7242 0.8006
Pm3 0.0752 0.4000 0.8006
Pm4 0.2269 0.9000 0.3005
Pm5 0.7242 0.0752 0.8006
Pm6 0.5727 0.2269 0.3005
Sm1 0.6481 0.6481 0.0557
Sm2 0.4003 0.4003 0.7990
Sm3 0.1523 0.1523 0.5430

(11)
# GaSbIr2

An optimized crystal structure of GaSbIr2 (PBE, the Alexandria database).

The energy above the most stable polymorph in this dataset comes out at 0.000 eV per atom. The value obtained for the total magnetic moment is 0.00 μB/cell.

a = 4.5289 Å, b = 4.5289 Å, c = 4.5289 Å
α = 60.00°, β = 60.00°, γ = 60.00°
Element x y z (fractional)
Ir1 0.7500 0.7500 0.7500
Ir2 0.2500 0.2500 0.2500
Ga1 0.0000 0.0000 0.0000
Sb1 0.5000 0.5000 0.5000

(12)
# Pm2CdHg6

An optimized crystal structure of Pm2CdHg6 (PBE, the Alexandria database).

The energy above the most stable polymorph in this dataset comes out at 0.000 eV per atom. The value obtained for the total magnetic moment is 0.00 μB/cell.

a = 5.1848 Å, b = 5.1943 Å, c = 9.5432 Å
α = 89.51°, β = 90.00°, γ = 119.94°
Element x y z (fractional)
Hg1 0.6656 0.3312 0.5999
Hg2 0.3344 0.6688 0.4001
Hg3 0.9969 0.9939 0.8391
Hg4 0.0031 0.0061 0.1609
Hg5 0.6645 0.3290 0.9270
Hg6 0.3355 0.6710 0.0730
Cd1 0.0000 0.0000 0.5000
Pm1 0.3307 0.6615 0.7301
Pm2 0.6693 0.3385 0.2699